No. 1
SbAs2Pt: relaxed, PBE.

Lattice parameters (Å, degrees): 5.7554 5.7554 3.9728 108.90 108.90 123.36
Sites, in units of the cell vectors:
Sb  0.0000  0.0000  0.0000
As  0.0000  0.5000  0.5000
As  0.5000  0.0000  0.5000
Pt  0.5000  0.5000  0.0000

raw formation energy = 0.02 eV/atom
size of the total moment = 0.0 μB per cell



No. 2
TlMoW2: relaxed, PBE.

Lattice parameters (Å, degrees): 4.8044 4.8044 3.1517 90.00 90.00 107.01
Sites, in units of the cell vectors:
Tl  0.0000  0.0000  0.0000
Mo  0.5000  0.5000  0.0000
W  0.0000  0.5000  0.5000
W  0.5000  0.0000  0.5000

offset from the most stable computed form = 0.3066 eV/atom
ΔH_f (0 K) = 3.2 eV/f.u.
size of the total moment = 0.0 μB per cell



Let's list E_tot in order: -19.38, -35.87 eV/f.u..